A geometry-optimized MgTa structure. Source: OQMD, functional PBE.

a = 5.933 Å, b = 4.834 Å, c = 8.219 Å
α = 90.00°, β = 96.04°, γ = 90.00°
Space group P2_1/m (No. 11)
Symmetry-distinct sites (fractional):
Mg  0.124  0.250  0.073 (multiplicity 2)
Mg  0.293  0.250  0.733 (multiplicity 2)
Mg  0.370  0.750  0.934 (multiplicity 2)
Ta  0.045  0.750  0.596 (multiplicity 2)
Ta  0.214  0.750  0.301 (multiplicity 2)
Ta  0.448  0.250  0.405 (multiplicity 2)

VASP energy: -77.7 eV per cell